Record 1
Computed, not measured: a geometry-optimized In3HgB structure at the GGA-PBE level of DFT. Values from VASP.

Properties
Magnetic moment = 0.000 μB per atom
Symmetry = Pm-3m (221)
E = -12.9 eV/cell
Formation energy = 43.4 kJ per mole of atoms
Excess energy over the best structure of this formula in the dataset = 0.0 kJ per mole of atoms

```
&SYSTEM
  ibrav = 0, nat = 5, ntyp = 3
/
ATOMIC_SPECIES
B 10.81 B.upf
Hg 200.59 Hg.upf
In 114.82 In.upf
ATOMIC_POSITIONS crystal
B 0.000 0.000 0.000
Hg 0.500 0.500 0.500
In 0.000 0.500 0.000
In 0.000 0.000 0.500
In 0.500 0.000 0.000
CELL_PARAMETERS angstrom
4.906 0.000 0.000
0.000 4.906 0.000
0.000 0.000 4.906
```

Record 2
Computed, not measured: a geometry-optimized InHg3B structure at the GGA-PBE level of DFT. Values from VASP.

Properties
Magnetic moment = 0.212 μB per atom
Symmetry = Pm-3m (221)
E = -4.3 eV/cell
Formation energy = 117.0 kJ per mole of atoms
Excess energy over the best structure of this formula in the dataset = 68.5 kJ per mole of atoms

```
&SYSTEM
  ibrav = 0, nat = 5, ntyp = 3
/
ATOMIC_SPECIES
B 10.81 B.upf
Hg 200.59 Hg.upf
In 114.82 In.upf
ATOMIC_POSITIONS crystal
B 0.500 0.500 0.500
Hg 0.000 0.500 0.000
Hg 0.000 0.000 0.500
Hg 0.500 0.000 0.000
In 0.000 0.000 0.000
CELL_PARAMETERS angstrom
5.650 0.000 0.000
0.000 5.650 0.000
0.000 0.000 5.650
```

Record 3
Computed, not measured: a geometry-optimized InHgB3 structure at the GGA-PBE level of DFT. Values from VASP.

Properties
Magnetic moment = 0.000 μB per atom
Symmetry = Pm-3m (221)
E = -12.4 eV/cell
Formation energy = 205.2 kJ per mole of atoms
Excess energy over the best structure of this formula in the dataset = 0.0 kJ per mole of atoms

```
&SYSTEM
  ibrav = 0, nat = 5, ntyp = 3
/
ATOMIC_SPECIES
B 10.81 B.upf
Hg 200.59 Hg.upf
In 114.82 In.upf
ATOMIC_POSITIONS crystal
B 0.000 0.500 0.000
B 0.000 0.000 0.500
B 0.500 0.000 0.000
Hg 0.000 0.000 0.000
In 0.500 0.500 0.500
CELL_PARAMETERS angstrom
4.475 0.000 0.000
0.000 4.475 0.000
0.000 0.000 4.475
```

Record 4
Computed, not measured: a geometry-optimized InHg3B structure at the GGA-PBE level of DFT. Values from VASP.

Properties
Magnetic moment = 0.000 μB per atom
Symmetry = Pm-3m (221)
E = -7.8 eV/cell
Formation energy = 48.5 kJ per mole of atoms
Excess energy over the best structure of this formula in the dataset = 0.0 kJ per mole of atoms

```
&SYSTEM
  ibrav = 0, nat = 5, ntyp = 3
/
ATOMIC_SPECIES
B 10.81 B.upf
Hg 200.59 Hg.upf
In 114.82 In.upf
ATOMIC_POSITIONS crystal
B 0.000 0.000 0.000
Hg 0.000 0.500 0.000
Hg 0.000 0.000 0.500
Hg 0.500 0.000 0.000
In 0.500 0.500 0.500
CELL_PARAMETERS angstrom
-3.193 3.599 -0.543
-2.389 -1.527 3.925
2.747 2.856 2.783
```

Record 5
Computed, not measured: a geometry-optimized In2HgB2 structure at the GGA-PBE level of DFT. Values from VASP.

Properties
Magnetic moment = 0.000 μB per atom
Symmetry = P4/mbm (127)
E = -29.9 eV/cell
Formation energy = 80.4 kJ per mole of atoms
Excess energy over the best structure of this formula in the dataset = 4.4 kJ per mole of atoms

```
&SYSTEM
  ibrav = 0, nat = 10, ntyp = 3
/
ATOMIC_SPECIES
B 10.81 B.upf
Hg 200.59 Hg.upf
In 114.82 In.upf
ATOMIC_POSITIONS crystal
B 0.415 0.915 0.000
B 0.915 0.585 0.000
B 0.585 0.085 0.000
B 0.085 0.415 0.000
Hg 0.000 0.000 0.000
Hg 0.500 0.500 0.000
In 0.193 0.693 0.500
In 0.693 0.807 0.500
In 0.807 0.307 0.500
In 0.307 0.193 0.500
CELL_PARAMETERS angstrom
-4.270 -4.791 -2.197
0.128 -2.921 6.120
-2.956 2.139 1.082
```

Record 6
Computed, not measured: a geometry-optimized InHg2B structure at the GGA-PBE level of DFT. Values from VASP.

Properties
Magnetic moment = 0.000 μB per atom
Symmetry = Fm-3m (225)
E = -6.0 eV/cell
Formation energy = 97.4 kJ per mole of atoms
Excess energy over the best structure of this formula in the dataset = 35.1 kJ per mole of atoms

```
&SYSTEM
  ibrav = 0, nat = 4, ntyp = 3
/
ATOMIC_SPECIES
B 10.81 B.upf
Hg 200.59 Hg.upf
In 114.82 In.upf
ATOMIC_POSITIONS crystal
B 0.000 0.000 0.000
Hg 0.250 0.250 0.250
Hg 0.750 0.750 0.750
In 0.500 0.500 0.500
CELL_PARAMETERS angstrom
0.000 3.517 3.517
3.517 0.000 3.517
3.517 3.517 0.000
```

Record 7
Computed, not measured: a geometry-optimized InHg2B structure at the GGA-PBE level of DFT. Values from VASP.

Properties
Magnetic moment = 0.000 μB per atom
Symmetry = I-42d (122)
E = -14.9 eV/cell
Formation energy = 62.4 kJ per mole of atoms
Excess energy over the best structure of this formula in the dataset = 0.0 kJ per mole of atoms

```
&SYSTEM
  ibrav = 0, nat = 8, ntyp = 3
/
ATOMIC_SPECIES
B 10.81 B.upf
Hg 200.59 Hg.upf
In 114.82 In.upf
ATOMIC_POSITIONS crystal
B 0.500 0.500 0.000
B 0.250 0.750 0.500
Hg 0.476 0.125 0.250
Hg 0.274 0.625 0.250
Hg 0.375 0.524 0.750
Hg 0.875 0.726 0.750
In 0.000 0.000 0.000
In 0.750 0.250 0.500
CELL_PARAMETERS angstrom
5.955 0.000 0.000
0.000 5.955 0.000
2.978 2.978 6.106
```

Record 8
Computed, not measured: a geometry-optimized InHgB2 structure at the GGA-PBE level of DFT. Values from VASP.

Properties
Magnetic moment = 0.000 μB per atom
Symmetry = I-42d (122)
E = -22.6 eV/cell
Formation energy = 122.8 kJ per mole of atoms
Excess energy over the best structure of this formula in the dataset = 0.0 kJ per mole of atoms

```
&SYSTEM
  ibrav = 0, nat = 8, ntyp = 3
/
ATOMIC_SPECIES
B 10.81 B.upf
Hg 200.59 Hg.upf
In 114.82 In.upf
ATOMIC_POSITIONS crystal
B 0.674 0.125 0.250
B 0.076 0.625 0.250
B 0.375 0.326 0.750
B 0.875 0.924 0.750
Hg 0.000 0.000 0.000
Hg 0.750 0.250 0.500
In 0.500 0.500 0.000
In 0.250 0.750 0.500
CELL_PARAMETERS angstrom
-2.191 2.202 -3.052
-3.270 -2.862 0.283
-5.788 3.666 3.692
```

Record 9
Computed, not measured: a geometry-optimized InHgB3 structure at the GGA-PBE level of DFT. Values from VASP.

Properties
Magnetic moment = 0.000 μB per atom
Symmetry = Pm-3m (221)
E = -12.2 eV/cell
Formation energy = 210.3 kJ per mole of atoms
Excess energy over the best structure of this formula in the dataset = 5.1 kJ per mole of atoms

```
&SYSTEM
  ibrav = 0, nat = 5, ntyp = 3
/
ATOMIC_SPECIES
B 10.81 B.upf
Hg 200.59 Hg.upf
In 114.82 In.upf
ATOMIC_POSITIONS crystal
B 0.000 0.500 0.000
B 0.000 0.000 0.500
B 0.500 0.000 0.000
Hg 0.500 0.500 0.500
In 0.000 0.000 0.000
CELL_PARAMETERS angstrom
-0.878 4.407 -0.922
-4.454 -0.988 -0.480
-0.660 0.803 4.468
```

Record 10
Computed, not measured: a geometry-optimized In2HgB2 structure at the GGA-PBE level of DFT. Values from VASP.

Properties
Magnetic moment = 0.000 μB per atom
Symmetry = I4/mmm (139)
E = -15.2 eV/cell
Formation energy = 76.0 kJ per mole of atoms
Excess energy over the best structure of this formula in the dataset = 0.0 kJ per mole of atoms

```
&SYSTEM
  ibrav = 0, nat = 5, ntyp = 3
/
ATOMIC_SPECIES
B 10.81 B.upf
Hg 200.59 Hg.upf
In 114.82 In.upf
ATOMIC_POSITIONS crystal
B 0.408 0.408 0.184
B 0.592 0.592 0.816
Hg 0.000 0.000 0.000
In 0.750 0.250 0.500
In 0.250 0.750 0.500
CELL_PARAMETERS angstrom
-3.776 2.532 0.081
-1.285 -2.039 3.857
-0.397 3.353 4.321
```

Record 11
Computed, not measured: a geometry-optimized In2HgB structure at the GGA-PBE level of DFT. Values from VASP.

Properties
Magnetic moment = 0.000 μB per atom
Symmetry = I-42d (122)
E = -20.8 eV/cell
Formation energy = 49.9 kJ per mole of atoms
Excess energy over the best structure of this formula in the dataset = 0.0 kJ per mole of atoms

```
&SYSTEM
  ibrav = 0, nat = 8, ntyp = 3
/
ATOMIC_SPECIES
B 10.81 B.upf
Hg 200.59 Hg.upf
In 114.82 In.upf
ATOMIC_POSITIONS crystal
B 0.500 0.500 0.000
B 0.250 0.750 0.500
Hg 0.000 0.000 0.000
Hg 0.750 0.250 0.500
In 0.509 0.125 0.250
In 0.241 0.625 0.250
In 0.375 0.491 0.750
In 0.875 0.759 0.750
CELL_PARAMETERS angstrom
6.365 0.000 0.000
0.000 6.365 0.000
3.183 3.183 5.278
```

Record 12
Computed, not measured: a geometry-optimized In3HgB structure at the GGA-PBE level of DFT. Values from VASP.

Properties
Magnetic moment = 0.000 μB per atom
Symmetry = Pm-3m (221)
E = -8.6 eV/cell
Formation energy = 126.6 kJ per mole of atoms
Excess energy over the best structure of this formula in the dataset = 83.2 kJ per mole of atoms

```
&SYSTEM
  ibrav = 0, nat = 5, ntyp = 3
/
ATOMIC_SPECIES
B 10.81 B.upf
Hg 200.59 Hg.upf
In 114.82 In.upf
ATOMIC_POSITIONS crystal
B 0.500 0.500 0.500
Hg 0.000 0.000 0.000
In 0.000 0.500 0.000
In 0.000 0.000 0.500
In 0.500 0.000 0.000
CELL_PARAMETERS angstrom
5.532 0.000 0.000
0.000 5.532 0.000
0.000 0.000 5.532
```